1.
A geometry-optimized Rb2TlI2 structure. Source: Alexandria via LeMat-Bulk, functional PBE-GGA.

```
10
Lattice="9.9421 0.0000 0.0000 0.0000 9.9421 0.0000 0.0000 0.0000 4.6692" Properties=species:S:1:pos:R:3 pbc="T T T"
Rb 1.4888 3.4822 0.0000
Rb 3.4822 8.4533 0.0000
Rb 6.4599 1.4888 0.0000
Rb 8.4533 6.4599 0.0000
Tl 0.0000 0.0000 2.3346
Tl 4.9710 4.9710 2.3346
I 1.5238 6.4948 2.3346
I 3.4473 1.5238 2.3346
I 6.4948 8.4183 2.3346
I 8.4183 3.4473 2.3346
```

Output
Formation energy from raw total energies (kcal/mol of atoms): -22.247
SG: P4/mbm, No. 127

=====

2.
A geometry-optimized Rb3TlI6 structure. Source: Alexandria via LeMat-Bulk, functional PBE-GGA.

```
10
Lattice="0.0000 6.4680 6.4680 6.4680 0.0000 6.4680 6.4680 6.4680 0.0000" Properties=species:S:1:pos:R:3 pbc="T T T"
Rb 0.0000 0.0000 0.0000
Rb 3.2340 3.2340 3.2340
Rb 9.7020 9.7020 9.7020
Tl 6.4680 6.4680 6.4680
I 6.4680 6.4680 3.4602
I 6.4680 3.4602 6.4680
I 9.4759 6.4680 6.4680
I 3.4602 6.4680 6.4680
I 6.4680 9.4759 6.4680
I 6.4680 6.4680 9.4759
```

Output
Formation energy from raw total energies (kcal/mol of atoms): -20.887
SG: Fm-3m, No. 225

=====

3.
A geometry-optimized Rb2TlI structure. Source: Alexandria via LeMat-Bulk, functional PBE-GGA.

```
4
Lattice="2.3003 1.3281 12.2923 -2.3003 1.3281 12.2923 0.0000 -2.6562 12.2923" Properties=species:S:1:pos:R:3 pbc="T T T"
Rb 0.0000 0.0000 3.6881
Rb 0.0000 0.0000 33.1889
Tl 0.0000 0.0000 0.0000
I 0.0000 0.0000 18.4385
```

Output
Formation energy from raw total energies (kcal/mol of atoms): -11.430
SG: R-3m, No. 166

=====

Ordered final energy results: -2.445, -2.363, -1.959; unit eV/atom.